{"formula": "TlAgHg2", "functional": "PBE", "state": "optimized geometry", "delta_e_f_kj_per_mol_fu": 30, "e_tot_ev_per_cell": -5.51, "lattice_angstrom": [[-1.575, 1.832, 2.201], [2.639, -1.283, 2.956], [4.435, 5.630, -1.515]], "species": ["Tl", "Hg", "Hg", "Ag"], "frac_coords": [[0.000, 0.000, 0.520], [0.000, 0.000, 0.974], [0.500, 0.500, 0.232], [0.500, 0.500, 0.774]]}


{"formula": "CaCoSbI2", "functional": "PBE", "state": "optimized geometry", "de_polymorph_mev_per_atom": 688.9, "raw_formation_energy_ev_per_atom": 0.5505, "e_tot_ev_per_cell": -13.58, "lattice_angstrom": [[5.910, 0.000, 0.000], [0.000, 5.910, 0.000], [0.000, 0.000, 6.314]], "species": ["I", "I", "Sb", "Ca", "Co"], "frac_coords": [[0.000, 0.500, 0.000], [0.500, 0.000, 0.000], [0.000, 0.000, 0.500], [0.000, 0.000, 0.000], [0.500, 0.500, 0.500]]}


{"formula": "Fe2CoS", "functional": "PBE", "state": "optimized geometry", "de_polymorph_mev_per_atom": 0.0, "raw_formation_energy_ev_per_atom": 0.2454, "e_tot_ev_per_cell": -27.18, "lattice_angstrom": [[0.839, -1.721, 3.493], [1.150, 2.230, 3.094], [-2.441, 0.506, 3.107]], "species": ["S", "Co", "Fe", "Fe"], "frac_coords": [[0.000, 0.000, 0.000], [0.500, 0.500, 0.500], [0.250, 0.250, 0.250], [0.750, 0.750, 0.750]]}


{"formula": "Mg2CdPb2", "functional": "PBE", "state": "optimized geometry", "de_polymorph_mev_per_atom": 159.8, "delta_e_f_kj_per_mol_fu": 72, "e_tot_ev_per_cell": -10.77, "lattice_angstrom": [[4.476, 0.000, 0.000], [0.000, 4.476, 0.000], [-2.238, -2.238, 7.349]], "species": ["Mg", "Mg", "Cd", "Pb", "Pb"], "frac_coords": [[0.402, 0.402, 0.804], [0.598, 0.598, 0.196], [0.000, 0.000, 0.000], [0.750, 0.250, 0.500], [0.250, 0.750, 0.500]]}


{"formula": "Li2ScH", "functional": "PBE", "state": "optimized geometry", "de_polymorph_mev_per_atom": 613.8, "e_tot_ev_per_cell": -10.41, "lattice_angstrom": [[3.174, -3.305, -0.297], [-0.457, -3.850, 2.459], [-0.999, -3.960, -2.099]], "species": ["Sc", "H", "Li", "Li"], "frac_coords": [[0.500, 0.500, 0.500], [0.000, 0.000, 0.000], [0.250, 0.250, 0.250], [0.750, 0.750, 0.750]]}


{"formula": "TcMo2RhN", "functional": "PBE", "state": "optimized geometry", "raw_formation_energy_ev_per_atom": -0.1312, "e_tot_ev_per_cell": -48.36, "lattice_angstrom": [[-1.842, 0.549, -3.622], [-2.861, -2.747, 1.039], [-2.242, 2.934, 1.585]], "species": ["Mo", "Mo", "Rh", "Tc", "N"], "frac_coords": [[0.000, 0.500, 0.000], [0.500, 0.000, 0.000], [0.500, 0.500, 0.500], [0.000, 0.000, 0.500], [0.000, 0.000, 0.000]]}


{"formula": "Na12Sr", "functional": "PBE", "state": "optimized geometry", "de_polymorph_mev_per_atom": 278.7, "delta_e_f_kj_per_mol_fu": 382, "e_tot_ev_per_cell": -13.55, "lattice_angstrom": [[-3.525, 6.417, -6.415], [3.090, -0.146, -9.230], [-5.972, -2.981, -7.086]], "species": ["Na", "Na", "Na", "Na", "Na", "Na", "Na", "Na", "Na", "Na", "Na", "Na", "Sr"], "frac_coords": [[0.843, 0.500, 0.500], [0.157, 0.500, 0.500], [0.157, 0.843, 0.500], [0.500, 0.500, 0.157], [0.500, 0.157, 0.843], [0.500, 0.843, 0.157], [0.157, 0.500, 0.843], [0.500, 0.157, 0.500], [0.500, 0.500, 0.843], [0.843, 0.500, 0.157], [0.500, 0.843, 0.500], [0.843, 0.157, 0.500], [0.000, 0.000, 0.000]]}


{"formula": "CuSb2Cl", "functional": "PBE", "state": "optimized geometry", "de_polymorph_mev_per_atom": 217.6, "raw_formation_energy_ev_per_atom": 0.0688, "e_tot_ev_per_cell": -13.91, "lattice_angstrom": [[-3.205, 2.918, -4.695], [2.281, -2.551, -5.396], [-1.916, -1.671, -1.955]], "species": ["Sb", "Sb", "Cu", "Cl"], "frac_coords": [[0.000, 0.000, 0.000], [0.500, 0.500, 0.000], [0.000, 0.500, 0.500], [0.500, 0.000, 0.500]]}


{"formula": "La2CrSnC", "functional": "PBE", "state": "optimized geometry", "delta_e_f_kj_per_mol_fu": -127, "e_tot_ev_per_cell": -34.02, "lattice_angstrom": [[5.442, 0.000, 0.000], [0.000, 5.442, 0.000], [0.000, 0.000, 3.988]], "species": ["Cr", "C", "Sn", "La", "La"], "frac_coords": [[0.000, 0.000, 0.500], [0.000, 0.000, 0.000], [0.500, 0.500, 0.500], [0.000, 0.500, 0.000], [0.500, 0.000, 0.000]]}


{"formula": "LaCu2Ag2", "functional": "PBE", "state": "optimized geometry", "de_polymorph_mev_per_atom": 197.9, "delta_e_f_kj_per_mol_fu": 29, "e_tot_ev_per_cell": -37.05, "lattice_angstrom": [[7.903, 0.000, 0.000], [0.000, 7.903, 0.000], [0.000, 0.000, 3.049]], "species": ["Cu", "Cu", "Cu", "Cu", "Ag", "Ag", "Ag", "Ag", "La", "La"], "frac_coords": [[0.170, 0.670, 0.500], [0.670, 0.830, 0.500], [0.830, 0.330, 0.500], [0.330, 0.170, 0.500], [0.375, 0.875, 0.000], [0.875, 0.625, 0.000], [0.625, 0.125, 0.000], [0.125, 0.375, 0.000], [0.000, 0.000, 0.000], [0.500, 0.500, 0.000]]}


{"formula": "Hf2CS", "functional": "PBE", "state": "optimized geometry", "de_polymorph_mev_per_atom": 610.9, "raw_formation_energy_ev_per_atom": -0.7316, "e_tot_ev_per_cell": -72.37, "lattice_angstrom": [[5.416, 0.000, 0.000], [0.000, 5.416, 0.000], [2.708, 2.708, 5.200]], "species": ["S", "S", "Hf", "Hf", "Hf", "Hf", "C", "C"], "frac_coords": [[0.000, 0.000, 0.000], [0.750, 0.250, 0.500], [0.570, 0.125, 0.250], [0.180, 0.625, 0.250], [0.375, 0.430, 0.750], [0.875, 0.820, 0.750], [0.500, 0.500, 0.000], [0.250, 0.750, 0.500]]}


{"formula": "U2InTc5", "functional": "PBE", "state": "optimized geometry", "delta_e_f_kj_per_mol_fu": -42, "e_tot_ev_per_cell": -155.16, "lattice_angstrom": [[-0.459, 2.040, 3.734], [2.645, -4.274, 2.660], [9.928, 5.151, -1.594]], "species": ["U", "U", "U", "U", "In", "In", "Tc", "Tc", "Tc", "Tc", "Tc", "Tc", "Tc", "Tc", "Tc", "Tc"], "frac_coords": [[0.500, 0.323, 0.361], [0.500, 0.677, 0.639], [0.500, 0.177, 0.861], [0.500, 0.823, 0.139], [0.000, 0.000, 0.500], [0.000, 0.500, 0.000], [0.500, 0.294, 0.124], [0.500, 0.706, 0.876], [0.500, 0.794, 0.376], [0.500, 0.206, 0.624], [0.000, 0.922, 0.750], [0.000, 0.078, 0.250], [0.000, 0.422, 0.750], [0.000, 0.578, 0.250], [0.000, 0.500, 0.500], [0.000, 0.000, 0.000]]}


{"formula": "MnOsBr2", "functional": "PBE", "state": "optimized geometry", "de_polymorph_mev_per_atom": 1064.3, "raw_formation_energy_ev_per_atom": 1.3298, "e_tot_ev_per_cell": -18.43, "lattice_angstrom": [[-2.753, 3.771, -0.996], [-4.375, 0.324, 1.882], [-0.911, 3.249, 3.378]], "species": ["Br", "Br", "Mn", "Os"], "frac_coords": [[0.000, 0.000, 0.000], [0.250, 0.250, 0.250], [0.500, 0.500, 0.500], [0.750, 0.750, 0.750]]}


{"formula": "Na3Er3WS8", "functional": "PBE", "state": "optimized geometry", "raw_formation_energy_ev_per_atom": -1.5011, "e_tot_ev_per_cell": -86.14, "lattice_angstrom": [[7.688, 0.000, 0.000], [-3.844, 6.659, -0.025], [0.000, -4.415, 6.802]], "species": ["Na", "Na", "Na", "Er", "Er", "Er", "W", "S", "S", "S", "S", "S", "S", "S", "S"], "frac_coords": [[0.000, 0.000, 0.000], [0.000, 0.500, 0.000], [0.500, 0.500, 0.000], [0.500, 0.000, 0.500], [0.500, 0.500, 0.500], [0.000, 0.500, 0.500], [0.000, 0.000, 0.500], [0.258, 0.516, 0.274], [0.742, 0.484, 0.726], [0.775, 0.551, 0.288], [0.225, 0.449, 0.712], [0.776, 0.012, 0.288], [0.224, 0.988, 0.712], [0.237, 0.012, 0.288], [0.763, 0.988, 0.712]]}


{"formula": "LiTmTl2Br6", "functional": "PBE", "state": "optimized geometry", "raw_formation_energy_ev_per_atom": -1.4018, "e_tot_ev_per_cell": -70.35, "lattice_angstrom": [[-1.950, -7.173, 1.431], [4.165, 0.192, 6.636], [-8.710, 3.388, 5.368]], "species": ["Li", "Li", "Tm", "Tm", "Tl", "Tl", "Tl", "Tl", "Br", "Br", "Br", "Br", "Br", "Br", "Br", "Br", "Br", "Br", "Br", "Br"], "frac_coords": [[0.500, 0.000, 0.000], [0.000, 0.500, 0.500], [0.500, 0.000, 0.500], [0.000, 0.500, 0.000], [0.018, 0.932, 0.252], [0.518, 0.568, 0.752], [0.982, 0.068, 0.748], [0.482, 0.432, 0.248], [0.295, 0.702, 0.041], [0.795, 0.798, 0.541], [0.705, 0.298, 0.959], [0.205, 0.202, 0.459], [0.300, 0.709, 0.460], [0.800, 0.791, 0.960], [0.700, 0.291, 0.540], [0.200, 0.209, 0.040], [0.919, 0.512, 0.251], [0.419, 0.988, 0.751], [0.081, 0.488, 0.749], [0.581, 0.012, 0.249]]}


{"formula": "TaW2Au", "functional": "PBE", "state": "optimized geometry", "de_polymorph_mev_per_atom": 244.8, "delta_e_f_kj_per_mol_fu": 132, "e_tot_ev_per_cell": -39.67, "lattice_angstrom": [[-0.350, -2.020, -1.788], [4.254, 0.022, -0.856], [0.867, -3.875, 4.208]], "species": ["Au", "Ta", "W", "W"], "frac_coords": [[0.500, 0.500, 0.250], [0.500, 0.500, 0.750], [0.000, 0.000, 0.998], [0.000, 0.000, 0.502]]}


{"formula": "P2O", "functional": "PBE", "state": "optimized geometry", "de_polymorph_mev_per_atom": 252.3, "raw_formation_energy_ev_per_atom": -0.3942, "e_tot_ev_per_cell": -16.96, "lattice_angstrom": [[4.191, 0.000, -0.009], [0.000, 2.662, 0.000], [-1.345, 0.000, 3.971]], "species": ["P", "P", "O"], "frac_coords": [[0.760, 0.500, 0.740], [0.240, 0.500, 0.260], [0.000, 0.500, 0.500]]}


{"formula": "Na2S2O3", "functional": "PBE", "state": "optimized geometry", "de_polymorph_mev_per_atom": 0.0, "raw_formation_energy_ev_per_atom": -1.4391, "e_tot_ev_per_cell": -143.36, "lattice_angstrom": [[8.242, 0.000, 0.000], [0.000, 6.524, 0.000], [0.000, 1.101, 8.519]], "species": ["Na", "Na", "Na", "Na", "Na", "Na", "Na", "Na", "S", "S", "S", "S", "S", "S", "S", "S", "O", "O", "O", "O", "O", "O", "O", "O", "O", "O", "O", "O"], "frac_coords": [[0.197, 0.876, 0.547], [0.697, 0.624, 0.453], [0.621, 0.293, 0.914], [0.303, 0.376, 0.547], [0.879, 0.793, 0.914], [0.379, 0.707, 0.086], [0.121, 0.207, 0.086], [0.803, 0.124, 0.453], [0.549, 0.792, 0.734], [0.451, 0.208, 0.266], [0.951, 0.292, 0.734], [0.397, 0.017, 0.789], [0.897, 0.483, 0.211], [0.603, 0.983, 0.211], [0.103, 0.517, 0.789], [0.049, 0.708, 0.266], [0.589, 0.660, 0.884], [0.963, 0.828, 0.378], [0.537, 0.328, 0.378], [0.037, 0.172, 0.622], [0.799, 0.380, 0.661], [0.463, 0.672, 0.622], [0.299, 0.120, 0.339], [0.201, 0.620, 0.339], [0.089, 0.840, 0.116], [0.411, 0.340, 0.116], [0.911, 0.160, 0.884], [0.701, 0.880, 0.661]]}


{"formula": "CaScB", "functional": "PBE", "state": "optimized geometry", "de_polymorph_mev_per_atom": 457.9, "delta_e_f_kj_per_mol_fu": 65, "e_tot_ev_per_cell": -28.68, "lattice_angstrom": [[-2.807, -0.791, 3.219], [2.727, -3.114, -1.318], [4.720, 2.166, 4.648]], "species": ["Sc", "Sc", "Ca", "Ca", "B", "B"], "frac_coords": [[0.333, 0.667, 0.750], [0.667, 0.333, 0.250], [0.000, 0.000, 0.000], [0.000, 0.000, 0.500], [0.333, 0.667, 0.250], [0.667, 0.333, 0.750]]}


{"formula": "Th2IrSe", "functional": "PBE", "state": "optimized geometry", "de_polymorph_mev_per_atom": 0.0, "raw_formation_energy_ev_per_atom": -1.3173, "e_tot_ev_per_cell": -32.45, "lattice_angstrom": [[-0.167, -2.369, -3.382], [3.110, -0.447, 2.687], [-4.837, -3.270, 5.055]], "species": ["Th", "Th", "Ir", "Se"], "frac_coords": [[0.521, 0.261, 0.782], [0.479, 0.739, 0.218], [0.000, 0.000, 0.000], [0.000, 0.500, 0.500]]}